A plane-wave DFT calculation with PBE was carried out for crystalline Sr2NiGeRh at its relaxed geometry.

The structure in CIF format:
```
data_Sr2NiGeRh
_chemical_formula_sum 'Sr2 Ni1 Ge1 Rh1'
_space_group_name_H-M_alt 'P 4/m m m'
_space_group_IT_number 123
_space_group_name_Hall '-P 4 2'
_cell_length_a 5.698
_cell_length_b 5.698
_cell_length_c 4.551
_cell_angle_alpha 90.00
_cell_angle_beta 90.00
_cell_angle_gamma 90.00
loop_
_atom_site_label
_atom_site_type_symbol
_atom_site_fract_x
_atom_site_fract_y
_atom_site_fract_z
_atom_site_occupancy
Sr1 Sr 0.000 0.500 0.000 1
Ni1 Ni 0.000 0.000 0.500 1
Ge1 Ge 0.500 0.500 0.500 1
Rh1 Rh 0.000 0.000 0.000 1
```

Energy of formation from the pure elements: 0.26 eV/atom
Total magnetic moment: 2.14 μB per formula unit


A plane-wave DFT calculation with PBE was carried out for crystalline TbNiGe2Rh at its relaxed geometry.

The structure in CIF format:
```
data_TbNiGe2Rh
_chemical_formula_sum 'Tb2 Ni2 Ge4 Rh2'
_space_group_name_H-M_alt 'I -4 m 2'
_space_group_IT_number 119
_space_group_name_Hall 'I -4 -2'
_cell_length_a 4.086
_cell_length_b 4.086
_cell_length_c 10.283
_cell_angle_alpha 90.00
_cell_angle_beta 90.00
_cell_angle_gamma 90.00
loop_
_atom_site_label
_atom_site_type_symbol
_atom_site_fract_x
_atom_site_fract_y
_atom_site_fract_z
_atom_site_occupancy
Tb1 Tb 0.000 0.000 0.000 1
Ni1 Ni 0.000 0.500 0.750 1
Ge1 Ge 0.000 0.000 0.378 1
Rh1 Rh 0.000 0.500 0.250 1
```

Energy of formation from the pure elements: -0.75 eV/atom
Total magnetic moment: 0.00 μB per formula unit


A plane-wave DFT calculation with PBE was carried out for crystalline Tb2Ni3Ge4Rh at its relaxed geometry.

The structure in CIF format:
```
data_Tb2Ni3Ge4Rh
_chemical_formula_sum 'Tb2 Ni3 Ge4 Rh1'
_space_group_name_H-M_alt 'P -4 m 2'
_space_group_IT_number 115
_cell_length_a 4.090
_cell_length_b 4.090
_cell_length_c 9.890
_cell_angle_alpha 90.00
_cell_angle_beta 90.00
_cell_angle_gamma 90.00
loop_
_space_group_symop_operation_xyz
'x,y,z'
'y,-x,-z'
'-x,-y,z'
'-y,x,-z'
'-x,y,z'
'-y,-x,-z'
'x,-y,z'
'y,x,-z'
loop_
_atom_site_label
_atom_site_type_symbol
_atom_site_fract_x
_atom_site_fract_y
_atom_site_fract_z
_atom_site_occupancy
Tb1 Tb 0.000 0.500 0.244 1
Ni1 Ni 0.000 0.500 0.875 1
Ni2 Ni 0.500 0.500 0.500 1
Ge1 Ge 0.000 0.000 0.000 1
Ge2 Ge 0.000 0.500 0.639 1
Ge3 Ge 0.500 0.500 0.000 1
Rh1 Rh 0.000 0.000 0.500 1
```

Energy of formation from the pure elements: -0.74 eV/atom
Total magnetic moment: 0.00 μB per formula unit